(1)
VASP calculation (GGA-PBEsol) on a relaxed LiEuSb crystal.

Values from the calculation:
ΔE_f (raw) (eV per formula unit): -2.908
Total DFT energy (no corrections) (eV per cell): -80.0
Density (Mg/m³): 6.30
Space-group type: Pnma (62)

abc: 7.649 4.710 8.216
angles: 90.00 90.00 90.00
Atoms (fractional coordinates):
Li  0.168  0.250  0.078
Li  0.332  0.750  0.578
Li  0.668  0.250  0.422
Li  0.832  0.750  0.922
Eu  0.003  0.250  0.713
Eu  0.497  0.750  0.213
Eu  0.503  0.250  0.787
Eu  0.997  0.750  0.287
Sb  0.226  0.750  0.908
Sb  0.274  0.250  0.408
Sb  0.726  0.750  0.592
Sb  0.774  0.250  0.092



(2)
VASP calculation (GGA-PBEsol) on a relaxed TlGa2Os crystal.

Values from the calculation:
Formation energy from the elements (eV per atom): 0.631
Total DFT energy (no corrections) (eV per cell): -19.0
Density (Mg/m³): 12.94
Space-group type: Fm-3m (225)

abc: 4.593 4.593 4.593
angles: 60.00 60.00 60.00
Atoms (fractional coordinates):
Tl  0.000  0.000  0.000
Ga  0.250  0.250  0.250
Ga  0.750  0.750  0.750
Os  0.500  0.500  0.500



(3)
VASP calculation (GGA-PBEsol) on a relaxed ZnRe2Br crystal.

Values from the calculation:
ΔE_f (raw) (eV per formula unit): 3.490
Distance to the lowest polymorph of the same formula (kJ/mol of atoms): 47.8
Total DFT energy (no corrections) (eV per cell): -26.6
Density (Mg/m³): 14.08
Space-group type: C2/m (12)

abc: 4.743 4.743 4.882
angles: 101.49 101.49 34.65
Atoms (fractional coordinates):
Zn  0.000  0.000  0.000
Re  0.260  0.260  0.761
Re  0.740  0.740  0.239
Br  0.500  0.500  0.500



(4)
VASP calculation (GGA-PBEsol) on a relaxed Sn3N4 crystal.

Values from the calculation:
ΔE_f (raw) (eV per formula unit): 0.327
Total DFT energy (no corrections) (eV per cell): -93.1
Density (Mg/m³): 7.40
Space-group type: Fd-3m (227)

abc: 6.395 6.395 6.395
angles: 60.00 60.00 60.00
Atoms (fractional coordinates):
Sn  0.000  0.000  0.000
Sn  0.000  0.000  0.500
Sn  0.000  0.500  0.000
Sn  0.375  0.375  0.375
Sn  0.500  0.000  0.000
Sn  0.625  0.625  0.625
N  0.223  0.759  0.759
N  0.241  0.241  0.241
N  0.241  0.241  0.777
N  0.241  0.777  0.241
N  0.759  0.223  0.759
N  0.759  0.759  0.223
N  0.759  0.759  0.759
N  0.777  0.241  0.241